Density functional theory data (PBE-GGA) for a relaxed structure of Y3ZrNi.

POSCAR file:
```
Y3ZrNi
1.0
5.232 0.000 0.000
0.000 5.232 0.000
0.000 0.000 5.232
Y Zr Ni
3 1 1
Direct
0.500 0.000 0.000 Y
0.000 0.000 0.500 Y
0.000 0.500 0.000 Y
0.500 0.500 0.500 Zr
0.000 0.000 0.000 Ni
```

## Properties
DFT formation energy	0.163	eV/atom
excess energy over the best structure of this formula in the dataset	0.000	eV per atom
V	28.648	Å³ per atom
electronic total energy	-6.58	eV/atom